Run one
Entry from Alexandria: a crystal of LiTl2Sb relaxed with PBEsol (SCAN).

magnetization: 0.00 μB/f.u.
space group: No. 216
crystal system: cubic

a = 5.3007 Å, b = 5.3007 Å, c = 5.3007 Å
α = 60.00°, β = 60.00°, γ = 60.00°
Fractional positions:
Sb  0.2500  0.2500  0.2500
Tl  0.0000  0.0000  0.0000
Tl  0.7500  0.7500  0.7500
Li  0.5000  0.5000  0.5000

Run two
Entry from Alexandria: a crystal of LiTl2Sb relaxed with PBEsol (SCAN).

magnetization: 0.00 μB/f.u.
space group: No. 25
crystal system: orthorhombic

a = 3.2863 Å, b = 4.1068 Å, c = 7.5662 Å
α = 90.00°, β = 90.00°, γ = 90.00°
Fractional positions:
Sb  0.5000  0.5000  0.7041
Tl  0.0000  0.0000  0.9816
Tl  0.5000  0.5000  0.2783
Li  0.0000  0.0000  0.5360

Run three
Entry from Alexandria: a crystal of LiTl2Sb relaxed with PBEsol (SCAN).

magnetization: 0.00 μB/f.u.
space group: No. 6
crystal system: monoclinic

a = 3.2879 Å, b = 4.7104 Å, c = 6.7927 Å
α = 90.00°, β = 90.05°, γ = 90.00°
Fractional positions:
Sb  0.1261  0.5000  0.6656
Tl  0.1239  0.0000  0.9980
Tl  0.6237  0.5000  0.2505
Li  0.6263  0.0000  0.5860

Winner for stability: run three